# MnCrBO2

Crystalline MnCrBO2 at its relaxed geometry (PBE with a Hubbard U, Alexandria).

Cell and atoms, written as CIF:
```
data_MnCrBO2
_cell_length_a 3.588
_cell_length_b 3.588
_cell_length_c 4.214
_cell_angle_alpha 90.00
_cell_angle_beta 90.00
_cell_angle_gamma 90.00
_space_group_name_H-M_alt 'P 4/m m m'
_space_group_IT_number 123
_space_group_name_Hall '-P 4 2'
loop_
_atom_site_label
_atom_site_type_symbol
_atom_site_fract_x
_atom_site_fract_y
_atom_site_fract_z
Mn1 Mn 0.000 0.000 0.000
Cr1 Cr 0.500 0.500 0.000
B1 B 0.500 0.500 0.500
O1 O 0.000 0.500 0.500
```

Results
* ρ: 4.6 g cm⁻³
* calculated total energy: -0.2185 hartree per atom
* size of the total moment: 0.07 μB/atom